Record 1
## YCu4Bi (PBE)

Data for a relaxed YCu4Bi crystal.

Unit cell a=5.2762 b=5.2762 c=5.2762 alpha=60.00 beta=60.00 gamma=60.00
With the nearest neighbours (Å) after each atom.
Positions (direct):
Y1 0.0000 0.0000 0.0000  12 Cu 3.09, 4 Bi 3.23
Cu1 0.3743 0.3743 0.3743  6 Cu 2.62-2.65
Cu2 0.3743 0.3743 0.8770  6 Cu 2.62-2.65
Cu3 0.3743 0.8770 0.3743  6 Cu 2.62-2.65
Cu4 0.8770 0.3743 0.3743  6 Cu 2.62-2.65
Bi1 0.7500 0.7500 0.7500  12 Cu 3.09, 4 Y 3.23

## Properties
Calculated volume = 17.3 Å³/atom
Formation enthalpy at 0 K = -0.12 eV per atom
Total DFT energy (no corrections) = -0.1680 Ha/atom
Theoretical density = 8.83 g cm⁻³
Space group = F-43m (216)


Record 2
## YCu2Bi2 (PBE)

Data for a relaxed YCu2Bi2 crystal.

Unit cell a=7.7196 b=7.7196 c=3.7319 alpha=90.00 beta=90.00 gamma=90.00
With the nearest neighbours (Å) after each atom.
Positions (direct):
Y1 0.0000 0.0000 0.0000  4 Cu 3.11, 8 Bi 3.39
Y2 0.5000 0.5000 0.0000  4 Cu 3.11, 8 Bi 3.39
Cu1 0.1127 0.3873 0.0000  1 Cu 2.46
Cu2 0.3873 0.8873 0.0000  1 Cu 2.46
Cu3 0.6127 0.1127 0.0000  1 Cu 2.46
Cu4 0.8873 0.6127 0.0000  1 Cu 2.46
Bi1 0.1823 0.6823 0.5000  6 Cu 2.91-2.99
Bi2 0.3177 0.1823 0.5000  6 Cu 2.91-2.99
Bi3 0.6823 0.8177 0.5000  6 Cu 2.91-2.99
Bi4 0.8177 0.3177 0.5000  6 Cu 2.91-2.99

## Properties
Calculated volume = 22.2 Å³/atom
Relative energy among the computed polymorphs = 0 meV per atom
Formation enthalpy at 0 K = -0.17 eV per atom
Total DFT energy (no corrections) = -0.1708 Ha/atom
Theoretical density = 9.47 g cm⁻³
Space group = P4/mbm (127)


Record 3
## YCu2Bi2 (PBE)

Data for a relaxed YCu2Bi2 crystal.

Unit cell a=6.0788 b=6.0788 c=6.0788 alpha=132.97 beta=132.97 gamma=68.70
With the nearest neighbours (Å) after each atom.
Positions (direct):
Y1 0.0000 0.0000 0.0000  8 Bi 3.49, 10 Cu 3.62-3.86
Cu1 0.3842 0.3842 0.0000  1 Cu 2.32
Cu2 0.6158 0.6158 0.0000  1 Cu 2.32
Bi1 0.2500 0.7500 0.5000  4 Cu 2.77
Bi2 0.7500 0.2500 0.5000  4 Cu 2.77

## Properties
Calculated volume = 23.6 Å³/atom
Relative energy among the computed polymorphs = 88 meV per atom
Formation enthalpy at 0 K = -0.08 eV per atom
Total DFT energy (no corrections) = -0.1676 Ha/atom
Theoretical density = 8.91 g cm⁻³
Space group = I4/mmm (139)


Record 4
## YCuBi (PBE)

Data for a relaxed YCuBi crystal.

Unit cell a=4.4310 b=4.4310 c=4.2551 alpha=90.00 beta=90.00 gamma=120.00
With the nearest neighbours (Å) after each atom.
Positions (direct):
Y1 0.0000 0.0000 0.0000  3 Cu 2.98, 3 Bi 3.26
Cu1 0.3333 0.6667 0.3586  3 Bi 2.65
Bi1 0.6667 0.3333 0.5232  3 Cu 2.65

## Properties
Calculated volume = 24.1 Å³/atom
Formation enthalpy at 0 K = -0.43 eV per atom
Total DFT energy (no corrections) = -0.1927 Ha/atom
Theoretical density = 8.30 g cm⁻³
Space group = P3m1 (156)


Record 5
## YCuBi (PBE)

Data for a relaxed YCuBi crystal.

Unit cell a=6.1291 b=6.1291 c=7.1913 alpha=124.26 beta=124.26 gamma=41.13
With the nearest neighbours (Å) after each atom.
Positions (direct):
Y1 0.0435 0.0435 0.2853  4 Cu 2.99-3.12, 3 Bi 3.16-3.33
Y2 0.9565 0.9565 0.7147  4 Cu 2.99-3.12, 3 Bi 3.16-3.33
Cu1 0.3738 0.3738 0.9308  1 Cu 2.43
Cu2 0.6262 0.6262 0.0692  1 Cu 2.43
Bi1 0.3141 0.3141 0.2740  3 Cu 2.76-2.93
Bi2 0.6859 0.6859 0.7260  3 Cu 2.76-2.93

## Properties
Calculated volume = 23.7 Å³/atom
Formation enthalpy at 0 K = -0.47 eV per atom
Total DFT energy (no corrections) = -0.1942 Ha/atom
Theoretical density = 8.45 g cm⁻³
Space group = C2/m (12)


Record 6
## YCu2Bi2 (PBE)

Data for a relaxed YCu2Bi2 crystal.

Unit cell a=8.2054 b=8.2054 c=3.4336 alpha=90.00 beta=90.00 gamma=90.00
With the nearest neighbours (Å) after each atom.
Positions (direct):
Y1 0.0000 0.0000 0.0000  4 Bi 3.12, 2 Y 3.43
Y2 0.5000 0.5000 0.0000  4 Bi 3.12, 2 Y 3.43
Cu1 0.1462 0.3538 0.5000  6 Bi 2.92-2.98
Cu2 0.3538 0.8538 0.5000  6 Bi 2.92-2.98
Cu3 0.6462 0.1462 0.5000  6 Bi 2.92-2.98
Cu4 0.8538 0.6462 0.5000  6 Bi 2.92-2.98
Bi1 0.1505 0.6505 0.0000  6 Cu 2.92-2.98, 2 Y 3.12
Bi2 0.3495 0.1505 0.0000  6 Cu 2.92-2.98, 2 Y 3.12
Bi3 0.6505 0.8495 0.0000  6 Cu 2.92-2.98, 2 Y 3.12
Bi4 0.8495 0.3495 0.0000  6 Cu 2.92-2.98, 2 Y 3.12

## Properties
Calculated volume = 23.1 Å³/atom
Relative energy among the computed polymorphs = 197 meV per atom
Formation enthalpy at 0 K = 0.03 eV per atom
Total DFT energy (no corrections) = -0.1636 Ha/atom
Theoretical density = 9.11 g cm⁻³
Space group = P4/mbm (127)


Record 7
## YCuBi (PBE)

Data for a relaxed YCuBi crystal.

Unit cell a=8.7425 b=8.7425 c=8.7425 alpha=29.77 beta=29.77 gamma=29.77
With the nearest neighbours (Å) after each atom.
Positions (direct):
Y1 0.0000 0.0000 0.0000  3 Cu 2.85
Y2 0.1653 0.1653 0.1653  4 Cu 2.92-3.03
Cu1 0.2863 0.2863 0.2863  4 Bi 2.76-3.07, 4 Y 2.85-3.03
Cu2 0.7780 0.7780 0.7780  3 Bi 2.74, 3 Y 2.92
Bi1 0.4088 0.4088 0.4088  4 Cu 2.74-3.07
Bi2 0.5815 0.5815 0.5815  3 Cu 2.76

## Properties
Calculated volume = 24.3 Å³/atom
Formation enthalpy at 0 K = -0.45 eV per atom
Total DFT energy (no corrections) = -0.1933 Ha/atom
Theoretical density = 8.23 g cm⁻³
Space group = R3m (160)


Record 8
## Zn2CuBi2 (PBE)

Data for a relaxed Zn2CuBi2 crystal.

Unit cell a=7.6097 b=7.6097 c=4.1812 alpha=90.00 beta=90.00 gamma=90.00
With the nearest neighbours (Å) after each atom.
Positions (direct):
Zn1 0.1189 0.3811 0.0000  1 Zn 2.56
Zn2 0.3811 0.8811 0.0000  1 Zn 2.56
Zn3 0.6189 0.1189 0.0000  1 Zn 2.56
Zn4 0.8811 0.6189 0.0000  1 Zn 2.56
Cu1 0.0000 0.0000 0.5000  4 Bi 2.76
Cu2 0.5000 0.5000 0.5000  4 Bi 2.76
Bi1 0.1923 0.6923 0.5000  2 Cu 2.76, 2 Zn 2.91
Bi2 0.3077 0.1923 0.5000  2 Cu 2.76, 2 Zn 2.91
Bi3 0.6923 0.8077 0.5000  2 Cu 2.76, 2 Zn 2.91
Bi4 0.8077 0.3077 0.5000  2 Cu 2.76, 2 Zn 2.91

## Properties
Calculated volume = 24.2 Å³/atom
Relative energy among the computed polymorphs = 58 meV per atom
Formation enthalpy at 0 K = 0.29 eV per atom
Total DFT energy (no corrections) = -0.0951 Ha/atom
Theoretical density = 8.40 g cm⁻³
Space group = P4/mbm (127)


Record 9
## ZnCu2Bi (PBE)

Data for a relaxed ZnCu2Bi crystal.

Unit cell a=9.1345 b=9.1345 c=9.1345 alpha=153.26 beta=153.26 gamma=38.18
With the nearest neighbours (Å) after each atom.
Positions (direct):
Zn1 0.0000 0.0000 0.0000  4 Cu 2.52
Zn2 0.7500 0.2500 0.5000  4 Cu 2.52
Cu1 0.0526 0.6250 0.9276  2 Zn 2.52, 2 Cu 2.59, 2 Bi 2.76
Cu2 0.3750 0.3026 0.4276  2 Zn 2.52, 2 Cu 2.59, 2 Bi 2.76
Cu3 0.6974 0.1250 0.0724  2 Zn 2.52, 2 Cu 2.59, 2 Bi 2.76
Cu4 0.8750 0.9474 0.5724  2 Zn 2.52, 2 Cu 2.59, 2 Bi 2.76
Bi1 0.2500 0.7500 0.5000  4 Cu 2.76, 4 Zn 2.99
Bi2 0.5000 0.5000 0.0000  4 Cu 2.76, 4 Zn 2.99

## Properties
Calculated volume = 19.3 Å³/atom
Relative energy among the computed polymorphs = 0 meV per atom
Formation enthalpy at 0 K = 0.28 eV per atom
Total DFT energy (no corrections) = -0.1123 Ha/atom
Theoretical density = 8.65 g cm⁻³
Space group = I-42d (122)


Record 10
## ZnCu2Bi (PBE)

Data for a relaxed ZnCu2Bi crystal.

Unit cell a=4.6437 b=4.6437 c=4.6437 alpha=60.00 beta=60.00 gamma=60.00
With the nearest neighbours (Å) after each atom.
Positions (direct):
Zn1 0.0000 0.0000 0.0000  8 Cu 2.84
Cu1 0.2500 0.2500 0.2500  4 Bi 2.84, 4 Zn 2.84
Cu2 0.7500 0.7500 0.7500  4 Bi 2.84, 4 Zn 2.84
Bi1 0.5000 0.5000 0.5000  8 Cu 2.84

## Properties
Calculated volume = 17.7 Å³/atom
Relative energy among the computed polymorphs = 5 meV per atom
Formation enthalpy at 0 K = 0.29 eV per atom
Total DFT energy (no corrections) = -0.1121 Ha/atom
Theoretical density = 9.42 g cm⁻³
Space group = Fm-3m (225)


Record 11
## Zn2CuBi2 (PBE)

Data for a relaxed Zn2CuBi2 crystal.

Unit cell a=6.7744 b=6.7744 c=4.7550 alpha=90.00 beta=90.00 gamma=90.00
With the nearest neighbours (Å) after each atom.
Positions (direct):
Zn1 0.1387 0.3613 0.0000  2 Cu 2.62, 1 Zn 2.66
Zn2 0.3613 0.8613 0.0000  2 Cu 2.62, 1 Zn 2.66
Zn3 0.6387 0.1387 0.0000  2 Cu 2.62, 1 Zn 2.66
Zn4 0.8613 0.6387 0.0000  2 Cu 2.62, 1 Zn 2.66
Cu1 0.0000 0.0000 0.0000  4 Zn 2.62
Cu2 0.5000 0.5000 0.0000  4 Zn 2.62
Bi1 0.1806 0.6806 0.5000  6 Zn 2.94-3.23
Bi2 0.3194 0.1806 0.5000  6 Zn 2.94-3.23
Bi3 0.6806 0.8194 0.5000  6 Zn 2.94-3.23
Bi4 0.8194 0.3194 0.5000  6 Zn 2.94-3.23

## Properties
Calculated volume = 21.8 Å³/atom
Relative energy among the computed polymorphs = 0 meV per atom
Formation enthalpy at 0 K = 0.24 eV per atom
Total DFT energy (no corrections) = -0.0972 Ha/atom
Theoretical density = 9.32 g cm⁻³
Space group = P4/mbm (127)


Record 12
## ZnCuBi (PBE)

Data for a relaxed ZnCuBi crystal.

Unit cell a=9.8990 b=9.8990 c=3.9150 alpha=90.00 beta=90.00 gamma=160.76
With the nearest neighbours (Å) after each atom.
Positions (direct):
Zn1 0.0563 0.9437 0.7500  6 Cu 2.57-2.59
Zn2 0.9437 0.0563 0.2500  6 Cu 2.57-2.59
Cu1 0.4543 0.5457 0.7500  6 Zn 2.57-2.59, 2 Cu 2.65
Cu2 0.5457 0.4543 0.2500  6 Zn 2.57-2.59, 2 Cu 2.65
Bi1 0.1677 0.8323 0.2500  2 Cu 2.90, 2 Zn 2.93
Bi2 0.8323 0.1677 0.7500  2 Cu 2.90, 2 Zn 2.93

## Properties
Calculated volume = 21.1 Å³/atom
Formation enthalpy at 0 K = 0.02 eV per atom
Total DFT energy (no corrections) = -0.1125 Ha/atom
Theoretical density = 8.88 g cm⁻³
Space group = Cmcm (63)